Density functional theory data (PBE) for ZnCu2SiTe3Se after structural relaxation.

The space group is Cm (No. 8) and the conventional cell measures 8.342, 8.396 and 7.175 Å, with angles of 90.00, 125.01 and 90.00 degrees. The inequivalent atoms are Zn at (0.000, 0.000, 0.000), Cu at (0.019, 0.263, 0.520), Si at (0.023, 0.500, 0.000), Te at (0.144, 0.258, 0.266), Te at (0.145, 0.000, 0.744) and Se at (0.128, 0.500, 0.756).

The value obtained for the theoretical density is 5.51 g/cm³. Its uncorrected energy is -0.1325 hartree per atom.

Density functional theory data (PBE) for Cu2Ag3 after structural relaxation.

The space group is P2/m (No. 10) and the conventional cell measures 4.795, 2.853 and 11.447 Å, with angles of 90.00, 95.72 and 90.00 degrees. The inequivalent atoms are Cu at (0.099, 0.000, 0.296), Cu at (0.301, 0.000, 0.904), Ag at (0.000, 0.500, 0.500), Ag at (0.198, 0.500, 0.099), Ag at (0.393, 0.500, 0.709) and Ag at (0.500, 0.000, 0.500).

For the energy above the most stable polymorph in this dataset, the calculation gives 0.063 eV/atom. The value obtained for the theoretical density is 9.61 g/cm³. Its calculated formation energy is 9.2 kJ per mole of atoms. Its uncorrected energy is -0.1134 hartree per atom.

Density functional theory data (PBE) for HfPaZn after structural relaxation.

The space group is F-43m (No. 216) and the conventional cell measures 6.758, 6.758 and 6.758 Å, with angles of 90.00, 90.00 and 90.00 degrees. The inequivalent atoms are Hf at (0.000, 0.000, 0.000), Pa at (0.250, 0.250, 0.250) and Zn at (0.000, 0.000, 0.500).

For the energy above the most stable polymorph in this dataset, the calculation gives 0.642 eV/atom. The value obtained for the theoretical density is 10.22 g/cm³. Its calculated formation energy is 106.5 kJ per mole of atoms. The value obtained for the total magnetic moment is 0.773 μB per atom. Its uncorrected energy is -0.2132 hartree per atom.

Density functional theory data (PBE) for NdSnTe3Au after structural relaxation.

The space group is C2/m (No. 12) and the conventional cell measures 20.393, 4.324 and 8.782 Å, with angles of 90.00, 101.88 and 90.00 degrees. The inequivalent atoms are Nd at (0.159, 0.000, 0.090), Sn at (0.118, 0.000, 0.571), Te at (0.000, 0.000, 0.000), Te at (0.000, 0.500, 0.500), Te at (0.177, 0.500, 0.838), Te at (0.186, 0.500, 0.361) and Au at (0.054, 0.500, 0.215).

For the energy above the most stable polymorph in this dataset, the calculation gives 0.039 eV/atom. The value obtained for the theoretical density is 7.39 g/cm³. The value obtained for the total magnetic moment is 0.001 μB per atom. Its uncorrected energy is -0.1551 hartree per atom.

Density functional theory data (PBE) for SiTcNiPd after structural relaxation.

The space group is F-43m (No. 216) and the conventional cell measures 5.970, 5.970 and 5.970 Å, with angles of 90.00, 90.00 and 90.00 degrees. The inequivalent atoms are Si at (0.000, 0.000, 0.000), Tc at (0.250, 0.250, 0.250), Ni at (0.250, 0.250, 0.750) and Pd at (0.000, 0.000, 0.500).

For the energy above the most stable polymorph in this dataset, the calculation gives 0.000 eV/atom. The value obtained for the theoretical density is 9.09 g/cm³. The value obtained for the total magnetic moment is 0.007 μB per atom. Its uncorrected energy is -0.2479 hartree per atom.

Density functional theory data (PBE) for Y2CdIrC after structural relaxation.

The space group is P4/mmm (No. 123) and the conventional cell measures 5.070, 5.070 and 3.900 Å, with angles of 90.00, 90.00 and 90.00 degrees. The inequivalent atoms are Y at (0.000, 0.500, 0.000), Cd at (0.000, 0.000, 0.500), Ir at (0.500, 0.500, 0.500) and C at (0.500, 0.500, 0.000).

The value obtained for the theoretical density is 8.19 g/cm³. The value obtained for the total magnetic moment is 0.000 μB per atom. Its uncorrected energy is -0.2533 hartree per atom.

Density functional theory data (PBE) for Y3Ho2Tm3 after structural relaxation.

The space group is P-6m2 (No. 187) and the conventional cell measures 7.2044, 7.2044 and 5.5901 Å, with angles of 90.00, 90.00 and 120.00 degrees. The inequivalent atoms are Y at (0.0000, 0.5000, 0.0000), Ho at (0.0000, 0.0000, 0.0000), Ho at (0.3333, 0.6667, 0.5000) and Tm at (0.3325, 0.1663, 0.5000).

The value obtained for the theoretical density is 7.29 g/cm³. Its calculated formation energy is 0.3 kJ per mole of atoms. The value obtained for the total magnetic moment is 0.002 μB per atom. Its uncorrected energy is -0.1927 hartree per atom.

Density functional theory data (PBE) for ScZnCoCu after structural relaxation.

The space group is F-43m (No. 216) and the conventional cell measures 6.059, 6.059 and 6.059 Å, with angles of 90.00, 90.00 and 90.00 degrees. The inequivalent atoms are Sc at (0.000, 0.000, 0.000), Zn at (0.000, 0.000, 0.500), Co at (0.250, 0.250, 0.750) and Cu at (0.250, 0.250, 0.250).

For the energy above the most stable polymorph in this dataset, the calculation gives 0.000 eV/atom. The value obtained for the theoretical density is 6.95 g/cm³. Its calculated formation energy is -18.2 kJ per mole of atoms. The value obtained for the total magnetic moment is 0.005 μB per atom. Its uncorrected energy is -0.1761 hartree per atom.

Density functional theory data (PBE) for GdCl2 after structural relaxation.

The space group is Fd-3m (No. 227, origin choice 2) and the conventional cell measures 12.041, 12.041 and 12.041 Å, with angles of 90.00, 90.00 and 90.00 degrees. The inequivalent atoms are Gd at (0.125, 0.125, 0.125) and Cl at (0.000, 0.000, 0.000).

The value obtained for the theoretical density is 1.74 g/cm³. The value obtained for the total magnetic moment is 0.330 μB per atom. Its uncorrected energy is -0.1569 hartree per atom.

Density functional theory data (PBE) for LiHfNp after structural relaxation.

The space group is F-43m (No. 216) and the conventional cell measures 6.485, 6.485 and 6.485 Å, with angles of 90.00, 90.00 and 90.00 degrees. The inequivalent atoms are Li at (0.000, 0.000, 0.000), Hf at (0.250, 0.250, 0.750) and Np at (0.250, 0.250, 0.250).

For the energy above the most stable polymorph in this dataset, the calculation gives 0.000 eV/atom. The value obtained for the theoretical density is 10.29 g/cm³. The value obtained for the total magnetic moment is 1.705 μB per atom. Its uncorrected energy is -0.2598 hartree per atom.

Density functional theory data (PBE) for SmCoNiP2 after structural relaxation.

The space group is I-4m2 (No. 119) and the conventional cell measures 3.891, 3.891 and 9.458 Å, with angles of 90.00, 90.00 and 90.00 degrees. The inequivalent atoms are Sm at (0.000, 0.000, 0.000), Co at (0.000, 0.500, 0.750), Ni at (0.000, 0.500, 0.250) and P at (0.000, 0.000, 0.373).

The value obtained for the theoretical density is 7.65 g/cm³. The value obtained for the total magnetic moment is 0.091 μB per atom. Its uncorrected energy is -0.2433 hartree per atom.

Density functional theory data (PBE) for HfCuAu after structural relaxation.

The space group is I4mm (No. 107) and the conventional cell measures 3.436, 3.436 and 8.632 Å, with angles of 90.00, 90.00 and 90.00 degrees. The inequivalent atoms are Hf at (0.000, 0.000, 0.000), Cu at (0.000, 0.000, 0.334) and Au at (0.000, 0.000, 0.676).

For the energy above the most stable polymorph in this dataset, the calculation gives 0.000 eV/atom. The value obtained for the theoretical density is 14.31 g/cm³. Its calculated formation energy is -34.4 kJ per mole of atoms. The value obtained for the total magnetic moment is 0.020 μB per atom. Its uncorrected energy is -0.2206 hartree per atom.

Density functional theory data (PBE) for BeHgTeO after structural relaxation.

The space group is P2_12_12_1 (No. 19) and the conventional cell measures 6.641, 7.262 and 7.587 Å, with angles of 90.00, 90.00 and 90.00 degrees. The inequivalent atoms are Be at (0.190, 0.072, 0.035), Hg at (0.211, 0.363, 0.601), Te at (0.052, 0.366, 0.942) and O at (0.098, 0.893, 0.053).

For the energy above the most stable polymorph in this dataset, the calculation gives 0.467 eV/atom. The value obtained for the theoretical density is 6.41 g/cm³. Its uncorrected energy is -0.1342 hartree per atom.

Density functional theory data (PBE) for Dy3Si4Ir after structural relaxation.

The space group is Pm (No. 6) and the conventional cell measures 5.667, 3.877 and 7.286 Å, with angles of 90.00, 97.48 and 90.00 degrees. The inequivalent atoms are Dy at (0.000, 0.000, 0.000), Dy at (0.188, 0.000, 0.476), Dy at (0.696, 0.500, 0.630), Si at (0.215, 0.500, 0.776), Si at (0.487, 0.000, 0.863), Si at (0.631, 0.000, 0.301), Si at (0.893, 0.500, 0.273) and Ir at (0.508, 0.500, 0.073).

The value obtained for the theoretical density is 8.29 g/cm³. The value obtained for the total magnetic moment is 0.001 μB per atom. Its uncorrected energy is -0.2291 hartree per atom.

Density functional theory data (PBE) for YHgGe2 after structural relaxation.

The space group is F-43m (No. 216) and the conventional cell measures 7.184, 7.184 and 7.184 Å, with angles of 90.00, 90.00 and 90.00 degrees. The inequivalent atoms are Y at (0.000, 0.000, 0.000), Hg at (0.250, 0.250, 0.250), Ge at (0.000, 0.000, 0.500) and Ge at (0.250, 0.250, 0.750).

The value obtained for the theoretical density is 7.79 g/cm³. The value obtained for the total magnetic moment is 0.002 μB per atom. Its uncorrected energy is -0.1524 hartree per atom.

Density functional theory data (PBE) for AcAgO3 after structural relaxation.

The space group is R-3c (No. 167, hexagonal axes) and the conventional cell measures 6.1020, 6.1020 and 16.0961 Å, with angles of 90.00, 90.00 and 120.00 degrees. The inequivalent atoms are Ac at (0.0000, 0.0000, 0.0000), Ag at (0.0000, 0.0000, 0.2500) and O at (0.0000, 0.3346, 0.2500).

The value obtained for the theoretical density is 7.35 g/cm³. The value obtained for the total magnetic moment is 0.000 μB per atom. Its uncorrected energy is -0.2122 hartree per atom.

Density functional theory data (PBE) for PuNbAs after structural relaxation.

The space group is F-43m (No. 216) and the conventional cell measures 6.465, 6.465 and 6.465 Å, with angles of 90.00, 90.00 and 90.00 degrees. The inequivalent atoms are Pu at (0.000, 0.000, 0.000), Nb at (0.000, 0.000, 0.500) and As at (0.250, 0.250, 0.750).

The value obtained for the theoretical density is 10.13 g/cm³. The value obtained for the total magnetic moment is 1.504 μB per atom. Its uncorrected energy is -0.3579 hartree per atom.

Density functional theory data (PBE) for Er3Lu2ZrTe2Os after structural relaxation.

The space group is Amm2 (No. 38) and the conventional cell measures 3.973, 13.997 and 8.189 Å, with angles of 90.00, 90.00 and 90.00 degrees. The inequivalent atoms are Er at (0.000, 0.000, 0.000), Er at (0.000, 0.192, 0.398), Lu at (0.500, 0.116, 0.716), Zr at (0.500, 0.000, 0.353), Te at (0.500, 0.166, 0.095) and Os at (0.000, 0.000, 0.567).

The value obtained for the theoretical density is 10.12 g/cm³. The value obtained for the total magnetic moment is 0.006 μB per atom. Its uncorrected energy is -0.2256 hartree per atom.

Density functional theory data (PBE) for Cs3Nb2I9 after structural relaxation.

The space group is P6_3/mmc (No. 194) and the conventional cell measures 8.5463, 8.5463 and 19.9614 Å, with angles of 90.00, 90.00 and 120.00 degrees. The inequivalent atoms are Cs at (0.0000, 0.0000, 0.2500), Cs at (0.3333, 0.6667, 0.0672), Nb at (0.3333, 0.6667, 0.6801), I at (0.0063, 0.5031, 0.2500) and I at (0.1763, 0.3526, 0.5956).

The value obtained for the theoretical density is 4.54 g/cm³. The value obtained for the total magnetic moment is 0.143 μB per atom. Its uncorrected energy is -0.1312 hartree per atom.

Density functional theory data (PBE) for YThRe after structural relaxation.

The space group is F-43m (No. 216) and the conventional cell measures 6.910, 6.910 and 6.910 Å, with angles of 90.00, 90.00 and 90.00 degrees. The inequivalent atoms are Y at (0.000, 0.000, 0.000), Th at (0.000, 0.000, 0.500) and Re at (0.250, 0.250, 0.250).

For the energy above the most stable polymorph in this dataset, the calculation gives 0.000 eV/atom. The value obtained for the theoretical density is 10.21 g/cm³. Its calculated formation energy is 12.0 kJ per mole of atoms. The value obtained for the total magnetic moment is 0.000 μB per atom. Its uncorrected energy is -0.3176 hartree per atom.

Density functional theory data (PBE) for InFeAuS3 after structural relaxation.

The space group is Cmcm (No. 63) and the conventional cell measures 3.517, 13.767 and 9.426 Å, with angles of 90.00, 90.00 and 90.00 degrees. The inequivalent atoms are In at (0.000, 0.178, 0.250), Fe at (0.000, 0.500, 0.000), Au at (0.000, 0.162, 0.750), S at (0.000, 0.107, 0.514) and S at (0.000, 0.462, 0.750).

The value obtained for the theoretical density is 6.75 g/cm³. The value obtained for the total magnetic moment is 0.042 μB per atom. Its uncorrected energy is -0.1715 hartree per atom.

Density functional theory data (PBE) for KLiUS3 after structural relaxation.

The space group is Cmcm (No. 63) and the conventional cell measures 4.057, 13.830 and 10.462 Å, with angles of 90.00, 90.00 and 90.00 degrees. The inequivalent atoms are K at (0.000, 0.237, 0.250), Li at (0.000, 0.038, 0.750), U at (0.000, 0.500, 0.000), S at (0.000, 0.123, 0.553) and S at (0.000, 0.446, 0.750).

The value obtained for the theoretical density is 4.30 g/cm³. The value obtained for the total magnetic moment is 0.334 μB per atom. Its uncorrected energy is -0.2154 hartree per atom.

Density functional theory data (PBE) for AgBiW after structural relaxation.

The space group is F-43m (No. 216) and the conventional cell measures 6.574, 6.574 and 6.574 Å, with angles of 90.00, 90.00 and 90.00 degrees. The inequivalent atoms are Ag at (0.000, 0.000, 0.000), Bi at (0.000, 0.000, 0.500) and W at (0.250, 0.250, 0.250).

The value obtained for the theoretical density is 11.70 g/cm³. The value obtained for the total magnetic moment is 0.558 μB per atom. Its uncorrected energy is -0.2030 hartree per atom.

Density functional theory data (PBE) for AlCuIrPt after structural relaxation.

The space group is F-43m (No. 216) and the conventional cell measures 6.126, 6.126 and 6.126 Å, with angles of 90.00, 90.00 and 90.00 degrees. The inequivalent atoms are Al at (0.000, 0.000, 0.000), Cu at (0.250, 0.250, 0.250), Ir at (0.250, 0.250, 0.750) and Pt at (0.000, 0.000, 0.500).

For the energy above the most stable polymorph in this dataset, the calculation gives 0.000 eV/atom. The value obtained for the theoretical density is 13.80 g/cm³. The value obtained for the total magnetic moment is 0.001 μB per atom. Its uncorrected energy is -0.2148 hartree per atom.

Density functional theory data (PBE) for ZrCo2Sn after structural relaxation.

The space group is F-43m (No. 216) and the conventional cell measures 6.382, 6.382 and 6.382 Å, with angles of 90.00, 90.00 and 90.00 degrees. The inequivalent atoms are Zr at (0.000, 0.000, 0.000), Co at (0.000, 0.000, 0.500), Co at (0.250, 0.250, 0.250) and Sn at (0.250, 0.250, 0.750).

The value obtained for the theoretical density is 8.38 g/cm³. The value obtained for the total magnetic moment is 0.590 μB per atom. Its uncorrected energy is -0.2429 hartree per atom.